A geometry-optimized BaLiP structure, computed with GGA-PBEsol.

abc: 4.4858 4.4858 8.5865
angles: 90.00 90.00 120.00
Closest atoms and distances in Å follow each position.
Element x y z (fractional)
Ba  0.0000  0.0000  0.0000  6 Li 3.36, 6 P 3.36
Ba  0.0000  0.0000  0.5000  6 Li 3.36, 6 P 3.36
Li  0.3333  0.6667  0.2500  3 P 2.59
Li  0.6667  0.3333  0.7500  3 P 2.59
P  0.3333  0.6667  0.7500  3 Li 2.59
P  0.6667  0.3333  0.2500  3 Li 2.59

Output
Its formation energy is -0.914 eV/atom. Its spin magnetization is 0.00 μB per formula unit. Its volume is 149.6 Å³/cell. As for the calculated density: 3.889 g/cm³.